Entry 1:
## Sc2Re (PBE)

Data for a relaxed structure of Sc2Re.

Computed properties:
Crystal system = cubic
Size of the total moment = 0.00 μB/f.u.

Unit cell a=6.3942 b=6.3942 c=6.3942 alpha=90.00 beta=90.00 gamma=90.00
With the nearest neighbours (Å) after each atom.
Atoms (fractional coordinates):
Sc  0.2500  0.2500  0.2500  4 Re 2.77
Sc  0.2500  0.2500  0.7500  4 Re 2.77
Sc  0.2500  0.7500  0.2500  4 Re 2.77
Sc  0.2500  0.7500  0.7500  4 Re 2.77
Sc  0.7500  0.2500  0.2500  4 Re 2.77
Sc  0.7500  0.2500  0.7500  4 Re 2.77
Sc  0.7500  0.7500  0.2500  4 Re 2.77
Sc  0.7500  0.7500  0.7500  4 Re 2.77
Re  0.0000  0.0000  0.0000  8 Sc 2.77
Re  0.0000  0.5000  0.5000  8 Sc 2.77
Re  0.5000  0.0000  0.5000  8 Sc 2.77
Re  0.5000  0.5000  0.0000  8 Sc 2.77

---

Entry 2:
## ScRe7 (PBE)

Data for a relaxed structure of ScRe7.

Computed properties:
Crystal system = cubic
Size of the total moment = 0.00 μB/f.u.

Unit cell a=5.5920 b=5.5920 c=5.5920 alpha=60.00 beta=60.00 gamma=60.00
With the nearest neighbours (Å) after each atom.
Atoms (fractional coordinates):
Sc  0.0000  0.0000  0.0000  12 Re 2.80
Re  0.0000  0.0000  0.5000  10 Re 2.80, 2 Sc 2.80
Re  0.0000  0.5000  0.0000  10 Re 2.80, 2 Sc 2.80
Re  0.0000  0.5000  0.5000  10 Re 2.80, 2 Sc 2.80
Re  0.5000  0.0000  0.0000  10 Re 2.80, 2 Sc 2.80
Re  0.5000  0.0000  0.5000  10 Re 2.80, 2 Sc 2.80
Re  0.5000  0.5000  0.0000  10 Re 2.80, 2 Sc 2.80
Re  0.5000  0.5000  0.5000  12 Re 2.80

---

Entry 3:
## Sc5Re24 (PBE)

Data for a relaxed structure of Sc5Re24.

Computed properties:
Crystal system = cubic
Size of the total moment = 0.00 μB/f.u.

Unit cell a=8.4379 b=8.4379 c=8.4379 alpha=109.47 beta=109.47 gamma=109.47
With the nearest neighbours (Å) after each atom.
Atoms (fractional coordinates):
Sc  0.0000  0.0000  0.0000  12 Re 3.06, 4 Sc 3.09
Sc  0.0000  0.0000  0.3664  12 Re 2.79-3.10, 1 Sc 3.09
Sc  0.0000  0.3664  0.0000  12 Re 2.79-3.10, 1 Sc 3.09
Sc  0.3664  0.0000  0.0000  12 Re 2.79-3.10, 1 Sc 3.09
Sc  0.6336  0.6336  0.6336  12 Re 2.79-3.10, 1 Sc 3.09
Re  0.0000  0.3227  0.6023  5 Re 2.55-2.82, 1 Sc 2.79
Re  0.0000  0.6023  0.3227  5 Re 2.55-2.82, 1 Sc 2.79
Re  0.0000  0.6223  0.8081  6 Re 2.55-2.76
Re  0.0000  0.8081  0.6223  6 Re 2.55-2.76
Re  0.1858  0.3777  0.3777  6 Re 2.55-2.76
Re  0.1919  0.1919  0.8142  6 Re 2.55-2.76
Re  0.1919  0.8142  0.1919  6 Re 2.55-2.76
Re  0.2796  0.6773  0.6773  5 Re 2.55-2.82, 1 Sc 2.79
Re  0.3227  0.0000  0.6023  5 Re 2.55-2.82, 1 Sc 2.79
Re  0.3227  0.6023  0.0000  5 Re 2.55-2.82, 1 Sc 2.79
Re  0.3777  0.1858  0.3777  6 Re 2.55-2.76
Re  0.3777  0.3777  0.1858  6 Re 2.55-2.76
Re  0.3977  0.3977  0.7204  5 Re 2.55-2.82, 1 Sc 2.79
Re  0.3977  0.7204  0.3977  5 Re 2.55-2.82, 1 Sc 2.79
Re  0.6023  0.0000  0.3227  5 Re 2.55-2.82, 1 Sc 2.79
Re  0.6023  0.3227  0.0000  5 Re 2.55-2.82, 1 Sc 2.79
Re  0.6223  0.0000  0.8081  6 Re 2.55-2.76
Re  0.6223  0.8081  0.0000  6 Re 2.55-2.76
Re  0.6773  0.2796  0.6773  5 Re 2.55-2.82, 1 Sc 2.79
Re  0.6773  0.6773  0.2796  5 Re 2.55-2.82, 1 Sc 2.79
Re  0.7204  0.3977  0.3977  5 Re 2.55-2.82, 1 Sc 2.79
Re  0.8081  0.0000  0.6223  6 Re 2.55-2.76
Re  0.8081  0.6223  0.0000  6 Re 2.55-2.76
Re  0.8142  0.1919  0.1919  6 Re 2.55-2.76

---

Number 1: energy of formation 0.2750 eV per atom. Number 2: energy of formation 0.1867 eV per atom. Number 3: energy of formation -0.2203 eV per atom.